#P
PmHo3Ir2 after structural relaxation. Source: Alexandria, functional PBE.

Lattice parameters (Å, degrees): 4.6536 7.2459 8.7472 90.00 90.00 90.00
Element x y z (fractional)
Ho  0.5000  0.1417  0.8332
Ho  0.0000  0.9891  0.0853
Ho  0.0000  0.8595  0.6740
Ho  0.0000  0.3595  0.3260
Ho  0.5000  0.6417  0.1668
Ho  0.0000  0.4891  0.9147
Ir  0.5000  0.2471  0.1549
Ir  0.5000  0.7471  0.8451
Ir  0.0000  0.2524  0.6614
Ir  0.0000  0.7524  0.3386
Pm  0.5000  0.5102  0.5843
Pm  0.5000  0.0102  0.4157

- Crystal system: orthorhombic
- Theoretical density: 11.53 Mg/m³
- Size of the total moment: 0.00 μB/cell

***

#Q
PmHo3Ir2 after structural relaxation. Source: Alexandria, functional PBE.

Lattice parameters (Å, degrees): 6.8169 7.0085 8.3974 114.66 113.95 90.00
Element x y z (fractional)
Ho  0.2377  0.4877  0.4754
Ho  0.2377  0.9877  0.4754
Ho  0.5000  0.2500  0.0000
Ho  0.5000  0.7500  0.0000
Ho  0.7623  0.0123  0.5246
Ho  0.7623  0.5123  0.5246
Ir  0.4280  0.6389  0.2778
Ir  0.1502  0.8611  0.7222
Ir  0.8498  0.1389  0.2778
Ir  0.5720  0.3611  0.7222
Pm  0.0000  0.5000  0.0000
Pm  0.0000  0.0000  0.0000

- Crystal system: orthorhombic
- Theoretical density: 10.43 Mg/m³
- Size of the total moment: 0.00 μB/cell

***

#P wins, 9.0 kJ/mol of atoms ahead of the next structure.